[1]
# PBE-GGA Xe, relaxed
# Energy of formation from the pure elements = 1 meV per atom
data_Xe
_symmetry_space_group_name_H-M 'P 1'
_symmetry_Int_Tables_number 1
_cell_length_a 4.713
_cell_length_b 4.713
_cell_length_c 15.727
_cell_angle_alpha 90.00
_cell_angle_beta 90.00
_cell_angle_gamma 120.00
loop_
_symmetry_equiv_pos_as_xyz
'x,y,z'
loop_
_atom_site_label
_atom_site_type_symbol
_atom_site_fract_x
_atom_site_fract_y
_atom_site_fract_z
_atom_site_occupancy
Xe1 Xe 0.000 0.000 0.000 1
Xe2 Xe 0.000 0.000 0.500 1
Xe3 Xe 0.333 0.667 0.250 1
Xe4 Xe 0.667 0.333 0.750 1



[2]
# PBE-GGA SiBRuO2, relaxed
# Energy relative to the elements, uncorrected = -102 meV/atom
data_SiBRuO2
_symmetry_space_group_name_H-M 'P 1'
_symmetry_Int_Tables_number 1
_cell_length_a 3.136
_cell_length_b 3.136
_cell_length_c 8.236
_cell_angle_alpha 90.00
_cell_angle_beta 90.00
_cell_angle_gamma 90.00
loop_
_symmetry_equiv_pos_as_xyz
'x,y,z'
loop_
_atom_site_label
_atom_site_type_symbol
_atom_site_fract_x
_atom_site_fract_y
_atom_site_fract_z
_atom_site_occupancy
Si1 Si 0.000 0.000 0.000 1
B1 B 0.000 0.000 0.500 1
Ru1 Ru 0.500 0.500 0.000 1
O1 O 0.000 0.500 0.500 1
O2 O 0.500 0.000 0.500 1



[3]
# PBE-GGA ZrTl2Tc, relaxed
# Energy of formation from the pure elements = 610 meV per atom
data_ZrTl2Tc
_symmetry_space_group_name_H-M 'P 1'
_symmetry_Int_Tables_number 1
_cell_length_a 6.302
_cell_length_b 6.302
_cell_length_c 6.302
_cell_angle_alpha 102.70
_cell_angle_beta 102.70
_cell_angle_gamma 124.07
loop_
_symmetry_equiv_pos_as_xyz
'x,y,z'
loop_
_atom_site_label
_atom_site_type_symbol
_atom_site_fract_x
_atom_site_fract_y
_atom_site_fract_z
_atom_site_occupancy
Zr1 Zr 0.000 0.000 0.000 1
Zr2 Zr 0.750 0.250 0.500 1
Tl1 Tl 0.146 0.625 0.021 1
Tl2 Tl 0.375 0.396 0.521 1
Tl3 Tl 0.604 0.125 0.979 1
Tl4 Tl 0.875 0.854 0.479 1
Tc1 Tc 0.250 0.750 0.500 1
Tc2 Tc 0.500 0.500 0.000 1



[4]
# PBE-GGA Tb3PmHo4S8, relaxed
# Energy relative to the elements, uncorrected = -1991 meV/atom
data_Tb3PmHo4S8
_symmetry_space_group_name_H-M 'P 1'
_symmetry_Int_Tables_number 1
_cell_length_a 7.851
_cell_length_b 7.851
_cell_length_c 7.851
_cell_angle_alpha 59.82
_cell_angle_beta 59.82
_cell_angle_gamma 59.82
loop_
_symmetry_equiv_pos_as_xyz
'x,y,z'
loop_
_atom_site_label
_atom_site_type_symbol
_atom_site_fract_x
_atom_site_fract_y
_atom_site_fract_z
_atom_site_occupancy
Tb1 Tb 0.000 0.500 0.500 1
Tb2 Tb 0.500 0.000 0.500 1
Tb3 Tb 0.500 0.500 0.000 1
Pm1 Pm 0.000 0.000 0.000 1
Ho1 Ho 0.000 0.000 0.500 1
Ho2 Ho 0.000 0.500 0.000 1
Ho3 Ho 0.500 0.000 0.000 1
Ho4 Ho 0.500 0.500 0.500 1
S1 S 0.248 0.248 0.248 1
S2 S 0.252 0.745 0.745 1
S3 S 0.255 0.255 0.748 1
S4 S 0.255 0.748 0.255 1
S5 S 0.745 0.252 0.745 1
S6 S 0.745 0.745 0.252 1
S7 S 0.748 0.255 0.255 1
S8 S 0.752 0.752 0.752 1



[5]
# PBE-GGA CaCdGePd3, relaxed
# Energy of formation from the pure elements = -402 meV per atom
data_CaCdGePd3
_symmetry_space_group_name_H-M 'P 1'
_symmetry_Int_Tables_number 1
_cell_length_a 8.867
_cell_length_b 8.867
_cell_length_c 5.705
_cell_angle_alpha 90.00
_cell_angle_beta 90.00
_cell_angle_gamma 142.68
loop_
_symmetry_equiv_pos_as_xyz
'x,y,z'
loop_
_atom_site_label
_atom_site_type_symbol
_atom_site_fract_x
_atom_site_fract_y
_atom_site_fract_z
_atom_site_occupancy
Ca1 Ca 0.223 0.777 0.750 1
Ca2 Ca 0.777 0.223 0.250 1
Cd1 Cd 0.117 0.883 0.250 1
Cd2 Cd 0.883 0.117 0.750 1
Ge1 Ge 0.418 0.582 0.250 1
Ge2 Ge 0.582 0.418 0.750 1
Pd1 Pd 0.243 0.243 0.000 1
Pd2 Pd 0.243 0.243 0.500 1
Pd3 Pd 0.275 0.725 0.250 1
Pd4 Pd 0.725 0.275 0.750 1
Pd5 Pd 0.757 0.757 0.000 1
Pd6 Pd 0.757 0.757 0.500 1



[6]
# PBE-GGA WAuSe, relaxed
# Energy relative to the elements, uncorrected = 456 meV/atom
data_WAuSe
_symmetry_space_group_name_H-M 'P 1'
_symmetry_Int_Tables_number 1
_cell_length_a 8.031
_cell_length_b 7.824
_cell_length_c 2.890
_cell_angle_alpha 83.56
_cell_angle_beta 75.49
_cell_angle_gamma 20.95
loop_
_symmetry_equiv_pos_as_xyz
'x,y,z'
loop_
_atom_site_label
_atom_site_type_symbol
_atom_site_fract_x
_atom_site_fract_y
_atom_site_fract_z
_atom_site_occupancy
W1 W 0.000 0.000 0.000 1
Au1 Au 0.346 0.346 0.654 1
Se1 Se 0.629 0.629 0.371 1



[7]
# PBE-GGA Ca3Pr2DyTe6, relaxed
# Energy relative to the elements, uncorrected = -1497 meV/atom
data_Ca3Pr2DyTe6
_symmetry_space_group_name_H-M 'P 1'
_symmetry_Int_Tables_number 1
_cell_length_a 7.710
_cell_length_b 7.710
_cell_length_c 7.873
_cell_angle_alpha 99.43
_cell_angle_beta 99.43
_cell_angle_gamma 119.92
loop_
_symmetry_equiv_pos_as_xyz
'x,y,z'
loop_
_atom_site_label
_atom_site_type_symbol
_atom_site_fract_x
_atom_site_fract_y
_atom_site_fract_z
_atom_site_occupancy
Ca1 Ca 0.000 0.000 0.000 1
Ca2 Ca 0.330 0.670 0.000 1
Ca3 Ca 0.670 0.330 0.000 1
Pr1 Pr 0.165 0.835 0.500 1
Pr2 Pr 0.835 0.165 0.500 1
Dy1 Dy 0.500 0.500 0.500 1
Te1 Te 0.092 0.416 0.248 1
Te2 Te 0.261 0.261 0.755 1
Te3 Te 0.416 0.092 0.248 1
Te4 Te 0.584 0.908 0.752 1
Te5 Te 0.739 0.739 0.245 1
Te6 Te 0.908 0.584 0.752 1



[8]
# PBE-GGA NaVIn2Cu, relaxed
# Energy of formation from the pure elements = 1362 meV per atom
data_NaVIn2Cu
_symmetry_space_group_name_H-M 'P 1'
_symmetry_Int_Tables_number 1
_cell_length_a 5.169
_cell_length_b 5.169
_cell_length_c 4.476
_cell_angle_alpha 90.00
_cell_angle_beta 90.00
_cell_angle_gamma 90.00
loop_
_symmetry_equiv_pos_as_xyz
'x,y,z'
loop_
_atom_site_label
_atom_site_type_symbol
_atom_site_fract_x
_atom_site_fract_y
_atom_site_fract_z
_atom_site_occupancy
Na1 Na 0.000 0.000 0.000 1
V1 V 0.500 0.500 0.500 1
In1 In 0.000 0.500 0.000 1
In2 In 0.500 0.000 0.000 1
Cu1 Cu 0.000 0.000 0.500 1



[9]
# PBE-GGA LiLaRu2O8, relaxed
# Energy relative to the elements, uncorrected = -1100 meV/atom
data_LiLaRu2O8
_symmetry_space_group_name_H-M 'P 1'
_symmetry_Int_Tables_number 1
_cell_length_a 7.329
_cell_length_b 7.329
_cell_length_c 7.329
_cell_angle_alpha 38.66
_cell_angle_beta 38.66
_cell_angle_gamma 38.66
loop_
_symmetry_equiv_pos_as_xyz
'x,y,z'
loop_
_atom_site_label
_atom_site_type_symbol
_atom_site_fract_x
_atom_site_fract_y
_atom_site_fract_z
_atom_site_occupancy
Li1 Li 0.000 0.000 0.000 1
La1 La 0.500 0.500 0.500 1
Ru1 Ru 0.328 0.328 0.328 1
Ru2 Ru 0.672 0.672 0.672 1
O1 O 0.071 0.712 0.389 1
O2 O 0.164 0.164 0.164 1
O3 O 0.288 0.611 0.929 1
O4 O 0.389 0.071 0.712 1
O5 O 0.611 0.929 0.288 1
O6 O 0.712 0.389 0.071 1
O7 O 0.836 0.836 0.836 1
O8 O 0.929 0.288 0.611 1



[10]
# PBE-GGA LiRh2Br, relaxed
# Energy relative to the elements, uncorrected = -15 meV/atom
data_LiRh2Br
_symmetry_space_group_name_H-M 'P 1'
_symmetry_Int_Tables_number 1
_cell_length_a 3.281
_cell_length_b 6.556
_cell_length_c 6.556
_cell_angle_alpha 29.28
_cell_angle_beta 90.00
_cell_angle_gamma 90.00
loop_
_symmetry_equiv_pos_as_xyz
'x,y,z'
loop_
_atom_site_label
_atom_site_type_symbol
_atom_site_fract_x
_atom_site_fract_y
_atom_site_fract_z
_atom_site_occupancy
Li1 Li 0.000 0.000 0.000 1
Rh1 Rh 0.000 0.778 0.778 1
Rh2 Rh 0.500 0.363 0.363 1
Br1 Br 0.500 0.587 0.587 1



[11]
# PBE-GGA V5H4, relaxed
# E = -6.333 eV/atom
data_V5H4
_symmetry_space_group_name_H-M 'P 1'
_symmetry_Int_Tables_number 1
_cell_length_a 5.854
_cell_length_b 5.854
_cell_length_c 2.497
_cell_angle_alpha 92.89
_cell_angle_beta 92.89
_cell_angle_gamma 76.44
loop_
_symmetry_equiv_pos_as_xyz
'x,y,z'
loop_
_atom_site_label
_atom_site_type_symbol
_atom_site_fract_x
_atom_site_fract_y
_atom_site_fract_z
_atom_site_occupancy
V1 V 0.000 0.000 0.000 1
V2 V 0.263 0.263 0.449 1
V3 V 0.337 0.663 0.000 1
V4 V 0.663 0.337 0.000 1
V5 V 0.737 0.737 0.551 1
H1 H 0.064 0.722 0.488 1
H2 H 0.278 0.936 0.512 1
H3 H 0.722 0.064 0.488 1
H4 H 0.936 0.278 0.512 1



[12]
# PBE-GGA ZrAs2W2, relaxed
# Energy of formation from the pure elements = 136 meV per atom
data_ZrAs2W2
_symmetry_space_group_name_H-M 'P 1'
_symmetry_Int_Tables_number 1
_cell_length_a 5.804
_cell_length_b 5.804
_cell_length_c 5.804
_cell_angle_alpha 136.37
_cell_angle_beta 136.37
_cell_angle_gamma 63.41
loop_
_symmetry_equiv_pos_as_xyz
'x,y,z'
loop_
_atom_site_label
_atom_site_type_symbol
_atom_site_fract_x
_atom_site_fract_y
_atom_site_fract_z
_atom_site_occupancy
Zr1 Zr 0.000 0.000 0.000 1
As1 As 0.376 0.376 0.000 1
As2 As 0.624 0.624 0.000 1
W1 W 0.250 0.750 0.500 1
W2 W 0.750 0.250 0.500 1



[13]
# PBE-GGA Na3Pr3TcO8, relaxed
# Energy relative to the elements, uncorrected = -2315 meV/atom
data_Na3Pr3TcO8
_symmetry_space_group_name_H-M 'P 1'
_symmetry_Int_Tables_number 1
_cell_length_a 6.899
_cell_length_b 6.899
_cell_length_c 6.899
_cell_angle_alpha 61.24
_cell_angle_beta 61.24
_cell_angle_gamma 61.24
loop_
_symmetry_equiv_pos_as_xyz
'x,y,z'
loop_
_atom_site_label
_atom_site_type_symbol
_atom_site_fract_x
_atom_site_fract_y
_atom_site_fract_z
_atom_site_occupancy
Na1 Na 0.000 0.500 0.500 1
Na2 Na 0.500 0.000 0.500 1
Na3 Na 0.500 0.500 0.000 1
Pr1 Pr 0.000 0.000 0.500 1
Pr2 Pr 0.000 0.500 0.000 1
Pr3 Pr 0.500 0.000 0.000 1
Tc1 Tc 0.500 0.500 0.500 1
O1 O 0.240 0.240 0.240 1
O2 O 0.274 0.713 0.713 1
O3 O 0.287 0.287 0.726 1
O4 O 0.287 0.726 0.287 1
O5 O 0.713 0.274 0.713 1
O6 O 0.713 0.713 0.274 1
O7 O 0.726 0.287 0.287 1
O8 O 0.760 0.760 0.760 1



[14]
# PBE-GGA PmSmIn6, relaxed
# Energy of formation from the pure elements = -406 meV per atom
data_PmSmIn6
_symmetry_space_group_name_H-M 'P 1'
_symmetry_Int_Tables_number 1
_cell_length_a 5.284
_cell_length_b 6.728
_cell_length_c 6.728
_cell_angle_alpha 60.01
_cell_angle_beta 90.00
_cell_angle_gamma 90.00
loop_
_symmetry_equiv_pos_as_xyz
'x,y,z'
loop_
_atom_site_label
_atom_site_type_symbol
_atom_site_fract_x
_atom_site_fract_y
_atom_site_fract_z
_atom_site_occupancy
Pm1 Pm 0.000 0.000 0.000 1
Sm1 Sm 0.500 0.333 0.333 1
In1 In 0.000 0.507 0.507 1
In2 In 0.000 0.507 0.985 1
In3 In 0.000 0.985 0.507 1
In4 In 0.500 0.349 0.825 1
In5 In 0.500 0.825 0.349 1
In6 In 0.500 0.826 0.826 1



[15]
# PBE-GGA CrCl5, relaxed
# Energy relative to the elements, uncorrected = -546 meV/atom
data_CrCl5
_symmetry_space_group_name_H-M 'P 1'
_symmetry_Int_Tables_number 1
_cell_length_a 7.109
_cell_length_b 7.109
_cell_length_c 8.041
_cell_angle_alpha 122.80
_cell_angle_beta 122.80
_cell_angle_gamma 28.61
loop_
_symmetry_equiv_pos_as_xyz
'x,y,z'
loop_
_atom_site_label
_atom_site_type_symbol
_atom_site_fract_x
_atom_site_fract_y
_atom_site_fract_z
_atom_site_occupancy
Cr1 Cr 0.000 0.000 0.000 1
Cl1 Cl 0.091 0.091 0.841 1
Cl2 Cl 0.375 0.375 0.791 1
Cl3 Cl 0.500 0.500 0.500 1
Cl4 Cl 0.625 0.625 0.209 1
Cl5 Cl 0.909 0.909 0.159 1



[16]
# PBE-GGA BaTh2Tc, relaxed
# Energy of formation from the pure elements = 171 meV per atom
data_BaTh2Tc
_symmetry_space_group_name_H-M 'P 1'
_symmetry_Int_Tables_number 1
_cell_length_a 11.163
_cell_length_b 11.163
_cell_length_c 11.163
_cell_angle_alpha 21.17
_cell_angle_beta 21.17
_cell_angle_gamma 21.17
loop_
_symmetry_equiv_pos_as_xyz
'x,y,z'
loop_
_atom_site_label
_atom_site_type_symbol
_atom_site_fract_x
_atom_site_fract_y
_atom_site_fract_z
_atom_site_occupancy
Ba1 Ba 0.000 0.000 0.000 1
Th1 Th 0.121 0.121 0.121 1
Th2 Th 0.879 0.879 0.879 1
Tc1 Tc 0.500 0.500 0.500 1



[17]
# PBE-GGA CoRu2Se, relaxed
# Energy relative to the elements, uncorrected = 322 meV/atom
data_CoRu2Se
_symmetry_space_group_name_H-M 'P 1'
_symmetry_Int_Tables_number 1
_cell_length_a 8.264
_cell_length_b 8.264
_cell_length_c 8.264
_cell_angle_alpha 19.66
_cell_angle_beta 19.66
_cell_angle_gamma 19.66
loop_
_symmetry_equiv_pos_as_xyz
'x,y,z'
loop_
_atom_site_label
_atom_site_type_symbol
_atom_site_fract_x
_atom_site_fract_y
_atom_site_fract_z
_atom_site_occupancy
Co1 Co 0.000 0.000 0.000 1
Ru1 Ru 0.504 0.504 0.504 1
Ru2 Ru 0.753 0.753 0.753 1
Se1 Se 0.258 0.258 0.258 1



[18]
# PBE-GGA Be6Ni5Pt, relaxed
# Energy of formation from the pure elements = -521 meV per atom
data_Be6Ni5Pt
_symmetry_space_group_name_H-M 'P 1'
_symmetry_Int_Tables_number 1
_cell_length_a 5.901
_cell_length_b 5.901
_cell_length_c 5.396
_cell_angle_alpha 90.00
_cell_angle_beta 90.00
_cell_angle_gamma 143.16
loop_
_symmetry_equiv_pos_as_xyz
'x,y,z'
loop_
_atom_site_label
_atom_site_type_symbol
_atom_site_fract_x
_atom_site_fract_y
_atom_site_fract_z
_atom_site_occupancy
Be1 Be 0.000 0.000 0.235 1
Be2 Be 0.000 0.000 0.765 1
Be3 Be 0.329 0.671 0.242 1
Be4 Be 0.329 0.671 0.758 1
Be5 Be 0.671 0.329 0.242 1
Be6 Be 0.671 0.329 0.758 1
Ni1 Ni 0.167 0.833 0.000 1
Ni2 Ni 0.170 0.830 0.500 1
Ni3 Ni 0.500 0.500 0.000 1
Ni4 Ni 0.830 0.170 0.500 1
Ni5 Ni 0.833 0.167 0.000 1
Pt1 Pt 0.500 0.500 0.500 1



[19]
# PBE-GGA TmScBi2, relaxed
# Energy of formation from the pure elements = -711 meV per atom
data_TmScBi2
_symmetry_space_group_name_H-M 'P 1'
_symmetry_Int_Tables_number 1
_cell_length_a 4.355
_cell_length_b 4.355
_cell_length_c 7.257
_cell_angle_alpha 90.00
_cell_angle_beta 90.00
_cell_angle_gamma 120.00
loop_
_symmetry_equiv_pos_as_xyz
'x,y,z'
loop_
_atom_site_label
_atom_site_type_symbol
_atom_site_fract_x
_atom_site_fract_y
_atom_site_fract_z
_atom_site_occupancy
Tm1 Tm 0.000 0.000 0.000 1
Sc1 Sc 0.000 0.000 0.500 1
Bi1 Bi 0.333 0.667 0.739 1
Bi2 Bi 0.667 0.333 0.261 1